Record 1
A geometry-optimized ReAg2Te structure. Source: the Alexandria database, functional PBEsol.

M_tot   0.00 μB per formula unit
VASP energy   -20.50 eV per formula unit
Space-group type   No. 216

abc: 4.618 4.618 4.618
angles: 60.00 60.00 60.00
Fractional coordinates of all 4 atoms:
1 Te 0.250 0.250 0.250
2 Ag 0.000 0.000 0.000
3 Ag 0.750 0.750 0.750
4 Re 0.500 0.500 0.500

=====

Record 2
A geometry-optimized TlReAg2 structure. Source: the Alexandria database, functional PBEsol.

M_tot   0.00 μB per formula unit
Polymorph energy (0 for the lowest one)   0.48 eV/f.u.
Space-group type   No. 10
Formation enthalpy at 0 K   0.729 eV/atom

abc: 2.820 4.970 5.005
angles: 90.00 91.96 90.00
Fractional coordinates of all 4 atoms:
1 Ag 0.767 0.000 0.763
2 Ag 0.233 0.000 0.237
3 Tl 0.000 0.500 0.500
4 Re 0.500 0.500 0.000

=====

Record 3
A geometry-optimized TlReAg2 structure. Source: the Alexandria database, functional PBEsol.

M_tot   0.00 μB per formula unit
Polymorph energy (0 for the lowest one)   0.00 eV/f.u.
Space-group type   No. 65
Formation enthalpy at 0 K   0.610 eV/atom

abc: 2.789 2.789 9.239
angles: 90.00 90.00 89.80
Fractional coordinates of all 4 atoms:
1 Re 0.500 0.500 0.500
2 Tl 0.500 0.500 0.000
3 Ag 0.000 0.000 0.722
4 Ag 0.000 0.000 0.278

=====

Record 4
A geometry-optimized TlReAg2 structure. Source: the Alexandria database, functional PBEsol.

M_tot   0.00 μB per formula unit
Polymorph energy (0 for the lowest one)   0.33 eV/f.u.
Space-group type   No. 47
Formation enthalpy at 0 K   0.693 eV/atom

abc: 2.927 4.774 4.956
angles: 90.00 90.00 90.00
Fractional coordinates of all 4 atoms:
1 Ag 0.000 0.000 0.000
2 Ag 0.500 0.500 0.000
3 Tl 0.000 0.500 0.500
4 Re 0.500 0.000 0.500

=====

Record 5
A geometry-optimized ReAgW2 structure. Source: the Alexandria database, functional PBEsol.

M_tot   0.00 μB per formula unit
Space-group type   No. 25
Formation enthalpy at 0 K   0.504 eV/atom

abc: 2.786 4.029 5.569
angles: 90.00 90.00 90.00
Fractional coordinates of all 4 atoms:
1 W 0.500 0.500 0.238
2 W 0.000 0.000 0.990
3 Ag 0.000 0.000 0.500
4 Re 0.500 0.500 0.772

=====

Record 6
A geometry-optimized YRe2Ag structure. Source: the Alexandria database, functional PBEsol.

M_tot   0.00 μB per formula unit
Polymorph energy (0 for the lowest one)   0.00 eV/f.u.
Space-group type   No. 6
Formation enthalpy at 0 K   0.308 eV/atom

abc: 2.897 5.259 5.651
angles: 96.20 78.68 123.44
Fractional coordinates of all 4 atoms:
1 Ag 0.610 0.500 0.257
2 Y 0.521 0.000 0.483
3 Re 0.085 0.000 0.950
4 Re 0.284 0.500 0.810

=====

Record 7
A geometry-optimized Y2ReAg structure. Source: the Alexandria database, functional PBEsol.

M_tot   0.00 μB per formula unit
Space-group type   No. 44
Formation enthalpy at 0 K   0.188 eV/atom

abc: 3.296 4.862 6.114
angles: 113.43 105.64 90.00
Fractional coordinates of all 4 atoms:
1 Y 0.763 0.263 0.527
2 Y 0.968 0.968 0.935
3 Re 0.235 0.735 0.471
4 Ag 0.534 0.534 0.067

=====

Record 8
A geometry-optimized YRe3Ag structure. Source: the Alexandria database, functional PBEsol.

M_tot   0.00 μB per formula unit
Space-group type   No. 221
Formation enthalpy at 0 K   2.423 eV/atom

abc: 4.739 4.739 4.739
angles: 90.00 90.00 90.00
Fractional coordinates of all 5 atoms:
1 Re 0.000 0.500 0.000
2 Re 0.000 0.000 0.500
3 Re 0.500 0.000 0.000
4 Ag 0.000 0.000 0.000
5 Y 0.500 0.500 0.500

=====

- Look up the M_tot of the sixth one.
  0.00 μB per formula unit

=====

- What is the M_tot in the second record?
  0.00 μB per formula unit

=====

What did the second record say?
A geometry-optimized TlReAg2 structure. Source: the Alexandria database, functional PBEsol.

M_tot   0.00 μB per formula unit
Polymorph energy (0 for the lowest one)   0.48 eV/f.u.
Space-group type   No. 10
Formation enthalpy at 0 K   0.729 eV/atom

abc: 2.820 4.970 5.005
angles: 90.00 91.96 90.00
Fractional coordinates of all 4 atoms:
1 Ag 0.767 0.000 0.763
2 Ag 0.233 0.000 0.237
3 Tl 0.000 0.500 0.500
4 Re 0.500 0.500 0.000